1.
TmAl6Ge | PBE | optimized geometry

abc: 5.555 5.555 5.555
angles: 89.83 89.83 89.83
Fractional positions:
Tm 0.000 0.000 0.000
Al 0.170 0.170 0.530
Al 0.170 0.530 0.170
Al 0.470 0.830 0.830
Al 0.530 0.170 0.170
Al 0.830 0.470 0.830
Al 0.830 0.830 0.470
Ge 0.500 0.500 0.500

Values from the calculation:
Energy, eV/cell: -30.55
D(E_F), states/eV/atom: 0.581
Energy of formation from the pure elements, eV per formula unit: 1.00

---

2.
Tm2AlGe3 | PBE | optimized geometry

abc: 6.810 4.129 17.512
angles: 90.00 90.00 90.00
Fractional positions:
Tm 0.159 0.250 0.205
Tm 0.167 0.250 0.414
Tm 0.333 0.750 0.914
Tm 0.341 0.750 0.705
Tm 0.659 0.250 0.295
Tm 0.667 0.250 0.086
Tm 0.833 0.750 0.586
Tm 0.841 0.750 0.795
Al 0.047 0.750 0.065
Al 0.453 0.250 0.565
Al 0.547 0.750 0.435
Al 0.953 0.250 0.935
Ge 0.049 0.250 0.669
Ge 0.152 0.250 0.811
Ge 0.245 0.750 0.535
Ge 0.255 0.250 0.035
Ge 0.348 0.750 0.311
Ge 0.451 0.750 0.169
Ge 0.549 0.250 0.831
Ge 0.652 0.250 0.689
Ge 0.745 0.750 0.965
Ge 0.755 0.250 0.465
Ge 0.848 0.750 0.189
Ge 0.951 0.750 0.331

Values from the calculation:
Energy, eV/cell: -120.78
D(E_F), states/eV/atom: 0.339
Energy of formation from the pure elements, eV per formula unit: -3.66

---

3.
TmAlGe | PBE | optimized geometry

abc: 5.534 5.534 5.708
angles: 90.00 90.00 137.01
Fractional positions:
Tm 0.190 0.810 0.750
Tm 0.810 0.190 0.250
Al 0.500 0.500 0.000
Al 0.500 0.500 0.500
Ge 0.108 0.892 0.250
Ge 0.892 0.108 0.750

Values from the calculation:
Energy, eV/cell: -29.44
D(E_F), states/eV/atom: 0.293
Energy of formation from the pure elements, eV per formula unit: -1.89

---

4.
Tm4Al5Ge6 | PBE | optimized geometry

abc: 10.176 10.176 15.029
angles: 90.00 90.00 156.79
Fractional positions:
Tm 0.011 0.989 0.500
Tm 0.036 0.964 0.777
Tm 0.164 0.836 0.316
Tm 0.183 0.817 0.951
Tm 0.817 0.183 0.451
Tm 0.836 0.164 0.816
Tm 0.964 0.036 0.277
Tm 0.989 0.011 0.000
Al 0.148 0.852 0.635
Al 0.308 0.692 0.626
Al 0.341 0.659 0.285
Al 0.356 0.644 0.985
Al 0.439 0.561 0.696
Al 0.561 0.439 0.196
Al 0.644 0.356 0.485
Al 0.659 0.341 0.785
Al 0.692 0.308 0.126
Al 0.852 0.148 0.135
Ge 0.108 0.892 0.120
Ge 0.219 0.781 0.499
Ge 0.234 0.766 0.766
Ge 0.419 0.581 0.417
Ge 0.434 0.566 0.133
Ge 0.442 0.558 0.863
Ge 0.558 0.442 0.363
Ge 0.566 0.434 0.633
Ge 0.581 0.419 0.917
Ge 0.766 0.234 0.266
Ge 0.781 0.219 0.999
Ge 0.892 0.108 0.620

Values from the calculation:
Energy, eV/cell: -141.23
D(E_F), states/eV/atom: 0.362
Energy of formation from the pure elements, eV per formula unit: -6.31

---

5.
TmAlGe | PBE | optimized geometry

abc: 5.013 5.013 5.013
angles: 132.64 132.64 69.22
Fractional positions:
Tm 0.000 0.000 0.000
Al 0.351 0.351 0.000
Ge 0.653 0.653 0.000

Values from the calculation:
Energy, eV/cell: -13.35
D(E_F), states/eV/atom: 0.702
Energy of formation from the pure elements, eV per formula unit: -0.52

---

6.
TmAlGe | PBE | optimized geometry

abc: 5.916 4.109 6.270
angles: 90.00 117.06 90.00
Fractional positions:
Tm 0.162 0.250 0.319
Tm 0.838 0.750 0.681
Al 0.275 0.250 0.890
Al 0.725 0.750 0.110
Ge 0.343 0.750 0.679
Ge 0.657 0.250 0.321

Values from the calculation:
Energy, eV/cell: -28.52
D(E_F), states/eV/atom: 0.191
Energy of formation from the pure elements, eV per formula unit: -1.43

---

7.
TmAlGe | PBE | optimized geometry

abc: 7.710 7.710 7.710
angles: 149.27 149.27 44.02
Fractional positions:
Tm 0.162 0.162 0.000
Tm 0.838 0.838 0.000
Al 0.000 0.500 0.500
Al 0.500 0.000 0.500
Ge 0.365 0.365 0.000
Ge 0.635 0.635 0.000

Values from the calculation:
Energy, eV/cell: -29.30
D(E_F), states/eV/atom: 0.523
Energy of formation from the pure elements, eV per formula unit: -1.82

---

8.
TmAlGe2 | PBE | optimized geometry

abc: 4.401 4.401 3.994
angles: 90.00 90.00 90.00
Fractional positions:
Tm 0.000 0.000 0.000
Al 0.500 0.500 0.000
Ge 0.000 0.500 0.500
Ge 0.500 0.000 0.500

Values from the calculation:
Energy, eV/cell: -19.04
D(E_F), states/eV/atom: 0.507
ΔE to the lowest computed polymorph, meV per atom: 36
Energy of formation from the pure elements, eV per formula unit: -1.59

---

9.
Tm2AlGe | PBE | optimized geometry

abc: 3.974 5.774 5.774
angles: 43.68 90.00 90.00
Fractional positions:
Tm 0.000 0.000 0.000
Tm 0.500 0.282 0.282
Al 0.000 0.717 0.717
Ge 0.500 0.561 0.561

Values from the calculation:
Energy, eV/cell: -20.00
D(E_F), states/eV/atom: 0.799
Energy of formation from the pure elements, eV per formula unit: -2.70

---

10.
Tm2AlGe | PBE | optimized geometry

abc: 3.652 3.652 6.684
angles: 90.00 90.00 90.00
Fractional positions:
Tm 0.000 0.000 0.242
Tm 0.000 0.000 0.758
Al 0.500 0.500 0.500
Ge 0.500 0.500 0.000

Values from the calculation:
Energy, eV/cell: -19.20
D(E_F), states/eV/atom: 0.788
Energy of formation from the pure elements, eV per formula unit: -1.90

---

11.
UAl2Ge | PBE | optimized geometry

abc: 4.162 4.162 4.366
angles: 90.00 90.00 90.00
Fractional positions:
U 0.000 0.000 0.000
Al 0.000 0.500 0.500
Al 0.500 0.000 0.500
Ge 0.500 0.500 0.000

Values from the calculation:
Energy, eV/cell: -24.29
D(E_F), states/eV/atom: 1.339
ΔE to the lowest computed polymorph, meV per atom: 0
Energy of formation from the pure elements, eV per formula unit: -0.90

---

12.
UAl2Ge | PBE | optimized geometry

abc: 5.580 5.580 5.580
angles: 46.17 46.17 46.17
Fractional positions:
U 0.000 0.000 0.000
Al 0.214 0.214 0.214
Al 0.786 0.786 0.786
Ge 0.500 0.500 0.500

Values from the calculation:
Energy, eV/cell: -22.56
D(E_F), states/eV/atom: 2.241
ΔE to the lowest computed polymorph, meV per atom: 432
Energy of formation from the pure elements, eV per formula unit: 0.83

---

Among the records above, which one has the highest D(E_F)?
number 12

---

The highest energy belongs to which entry?
number 5

---

Number 4 is which compound?
Tm4Al5Ge6

---

The lowest energy belongs to which entry?
Tm4Al5Ge6